A plane-wave DFT calculation with PBE-GGA was carried out for a relaxed SrP2W2 crystal.

a = 7.563 Å, b = 7.563 Å, c = 3.084 Å
α = 90.00°, β = 90.00°, γ = 90.00°
Atoms (fractional coordinates):
Sr  0.000  0.000  0.000
Sr  0.500  0.500  0.000
P  0.141  0.359  0.000
P  0.359  0.859  0.000
P  0.641  0.141  0.000
P  0.859  0.641  0.000
W  0.125  0.625  0.500
W  0.375  0.125  0.500
W  0.625  0.875  0.500
W  0.875  0.375  0.500

Summary:
The size of the total moment comes out at 0.000 μB/cell. The calculated total energy is -75.241 eV per cell. Its formation energy is 158 meV per atom.

***

A plane-wave DFT calculation with PBE-GGA was carried out for a relaxed TcW3Cl crystal.

a = 4.367 Å, b = 4.367 Å, c = 4.367 Å
α = 90.00°, β = 90.00°, γ = 90.00°
Atoms (fractional coordinates):
Tc  0.000  0.000  0.000
W  0.000  0.500  0.500
W  0.500  0.000  0.500
W  0.500  0.500  0.000
Cl  0.500  0.500  0.500

Summary:
The size of the total moment comes out at 0.000 μB/cell. Its formation energy (no corrections) is 8.0 eV/f.u. The calculated total energy is -43.099 eV per cell.

***

A plane-wave DFT calculation with PBE-GGA was carried out for a relaxed NaLi2PmSb2 crystal.

a = 4.687 Å, b = 4.687 Å, c = 7.495 Å
α = 90.00°, β = 90.00°, γ = 120.00°
Atoms (fractional coordinates):
Na  0.000  0.000  0.000
Li  0.333  0.667  0.163
Li  0.667  0.333  0.837
Pm  0.000  0.000  0.500
Sb  0.333  0.667  0.744
Sb  0.667  0.333  0.256

Summary:
The size of the total moment comes out at 0.000 μB/cell. Its formation energy (no corrections) is -4.7 eV/f.u. The calculated total energy is -22.869 eV per cell.

***

A plane-wave DFT calculation with PBE-GGA was carried out for a relaxed Ga3RuN crystal.

a = 4.817 Å, b = 4.817 Å, c = 4.817 Å
α = 90.00°, β = 90.00°, γ = 90.00°
Atoms (fractional coordinates):
Ga  0.000  0.000  0.500
Ga  0.000  0.500  0.000
Ga  0.500  0.000  0.000
Ru  0.000  0.000  0.000
N  0.500  0.500  0.500

Summary:
The size of the total moment comes out at 2.562 μB/cell. Its formation energy (no corrections) is 4.2 eV/f.u. The calculated total energy is -22.434 eV per cell.

***

A plane-wave DFT calculation with PBE-GGA was carried out for a relaxed PSeS2 crystal.

a = 5.991 Å, b = 5.991 Å, c = 5.991 Å
α = 113.14°, β = 113.14°, γ = 102.35°
Atoms (fractional coordinates):
P  0.000  0.000  0.000
P  0.750  0.250  0.500
Se  0.250  0.750  0.500
Se  0.500  0.500  0.000
S  0.090  0.625  0.965
S  0.375  0.340  0.465
S  0.660  0.125  0.035
S  0.875  0.910  0.535

Summary:
The size of the total moment comes out at 0.000 μB/cell. Its formation energy (no corrections) is 2.0 eV/f.u. The calculated total energy is -30.320 eV per cell.

***

A plane-wave DFT calculation with PBE-GGA was carried out for a relaxed VIrSe crystal.

a = 2.968 Å, b = 2.968 Å, c = 12.283 Å
α = 90.00°, β = 90.00°, γ = 120.00°
Atoms (fractional coordinates):
V  0.000  0.000  0.168
V  0.000  0.000  0.832
Ir  0.667  0.333  0.000
Ir  0.667  0.333  0.500
Se  0.667  0.333  0.305
Se  0.667  0.333  0.695

Summary:
The size of the total moment comes out at 0.000 μB/cell. Its formation energy (no corrections) is -0.4 eV/f.u. The calculated total energy is -43.699 eV per cell.